[1]
Computed, not measured: SrAcAlAg after structural relaxation at the PBE-GGA level of DFT.

Lattice parameters (Å, degrees): 7.911 7.911 7.911 90.00 90.00 90.00
Space group F-43m (No. 216)
Unique sites:
Sr1 0.000 0.000 0.000
Ac1 0.000 0.000 0.500
Al1 0.250 0.250 0.750
Ag1 0.250 0.250 0.250

## Properties
ΔE_f: -0.84 eV per formula unit

[2]
Computed, not measured: Bi2RhBr after structural relaxation at the PBE-GGA level of DFT.

Lattice parameters (Å, degrees): 6.692 6.692 12.809 90.00 90.00 90.00
Space group I-42d (No. 122)
Unique sites:
Bi1 0.172 0.250 0.125
Rh1 0.000 0.000 0.000
Br1 0.000 0.000 0.500

## Properties
Formation energy (no corrections): 0.0304 eV per atom

[3]
Computed, not measured: SrTc2Rh after structural relaxation at the PBE-GGA level of DFT.

Lattice parameters (Å, degrees): 7.291 4.211 6.372 90.00 112.33 90.00
Space group Cm (No. 8)
Unique sites:
Sr1 0.000 0.000 0.000
Tc1 0.307 0.500 0.423
Tc2 0.481 0.000 0.445
Rh1 0.212 0.000 0.638

## Properties
ΔE_f: 1.36 eV per formula unit

[4]
Computed, not measured: Ti3InCo after structural relaxation at the PBE-GGA level of DFT.

Lattice parameters (Å, degrees): 4.529 4.529 4.529 90.00 90.00 90.00
Space group Pm-3m (No. 221)
Unique sites:
Ti1 0.000 0.000 0.500
In1 0.500 0.500 0.500
Co1 0.000 0.000 0.000

## Properties
ΔE_f: 0.32 eV per formula unit

- What is the formula in the second record?
  Bi2RhBr

- What is the formula in the first record?
  SrAcAlAg